A relaxed structure of Cs2LiPmCl6. Source: Alexandria, functional PBE.

a = 7.590 Å, b = 10.738 Å, c = 7.592 Å
α = 90.00°, β = 90.00°, γ = 90.00°
Space group Pmmn (No. 59, origin choice 2)
Symmetry-distinct sites (fractional):
Cs: 0.250 0.000 0.250
Li: 0.250 0.250 0.749
Pm: 0.250 0.750 0.751
Cl: 0.003 0.250 0.996
Cl: 0.004 0.250 0.503
Cl: 0.250 0.003 0.750

Values from the calculation:
calculated volume: 619 Å³ per cell
formation energy without anion corrections: -2118 meV per atom
total energy: -4.063 eV per atom